1.
The following is a PBE calculation of a geometry-optimized K2CoSi structure, from Alexandria.

Computed properties:
The formation energy (no corrections) comes out at 845 meV per atom. The value obtained for the volume is 384.2 Å³/cell.

```
data_K2CoSi
_chemical_formula_sum 'K8 Co4 Si4'
_cell_length_a 7.2695
_cell_length_b 7.2695
_cell_length_c 7.2695
_cell_angle_alpha 90.00
_cell_angle_beta 90.00
_cell_angle_gamma 90.00
_symmetry_space_group_name_H-M 'F -4 3 m'
_symmetry_Int_Tables_number 216
_symmetry_space_group_name_Hall 'F -4 2 3'
loop_
_atom_site_label
_atom_site_type_symbol
_atom_site_fract_x
_atom_site_fract_y
_atom_site_fract_z
K1 K 0.0000 0.0000 0.0000
K2 K 0.2500 0.2500 0.2500
Co1 Co 0.2500 0.2500 0.7500
Si1 Si 0.0000 0.0000 0.5000
```

=====

2.
The following is a PBE calculation of a geometry-optimized Na3Pr2PtO6 structure, from Alexandria.

Computed properties:
The formation energy (no corrections) comes out at -1907 meV per atom. The value obtained for the volume is 351.3 Å³/cell.

```
data_Na3Pr2PtO6
_chemical_formula_sum 'Na6 Pr4 Pt2 O12'
_cell_length_a 5.9905
_cell_length_b 10.3304
_cell_length_c 5.9812
_cell_angle_alpha 90.00
_cell_angle_beta 108.36
_cell_angle_gamma 90.00
_symmetry_space_group_name_H-M 'C 1 2/m 1'
_symmetry_Int_Tables_number 12
_symmetry_space_group_name_Hall '-C 2y'
loop_
_atom_site_label
_atom_site_type_symbol
_atom_site_fract_x
_atom_site_fract_y
_atom_site_fract_z
Na1 Na 0.0000 0.0000 0.0000
Na2 Na 0.0000 0.3477 0.0000
Pr1 Pr 0.0000 0.1710 0.5000
Pt1 Pt 0.0000 0.5000 0.5000
O1 O 0.2310 0.5000 0.2957
O2 O 0.2406 0.3390 0.7337
```

=====

3.
The following is a PBE calculation of a geometry-optimized K4PCl structure, from Alexandria.

Computed properties:
The formation energy (no corrections) comes out at -15 meV per atom. The value obtained for the volume is 831.7 Å³/cell.

```
data_K4PCl
_chemical_formula_sum 'K16 P4 Cl4'
_cell_length_a 9.4040
_cell_length_b 9.4040
_cell_length_c 9.4040
_cell_angle_alpha 90.00
_cell_angle_beta 90.00
_cell_angle_gamma 90.00
_symmetry_space_group_name_H-M 'F -4 3 m'
_symmetry_Int_Tables_number 216
_symmetry_space_group_name_Hall 'F -4 2 3'
loop_
_atom_site_label
_atom_site_type_symbol
_atom_site_fract_x
_atom_site_fract_y
_atom_site_fract_z
K1 K 0.1251 0.1251 0.1251
P1 P 0.2500 0.2500 0.7500
Cl1 Cl 0.0000 0.0000 0.5000
```

=====

4.
The following is a PBE calculation of a geometry-optimized TiHIBr structure, from Alexandria.

Computed properties:
The value obtained for the volume is 89.9 Å³/cell. The final energy comes out at -16.59 eV for the cell shown.

```
data_TiHIBr
_chemical_formula_sum 'Ti1 H1 I1 Br1'
_cell_length_a 3.5748
_cell_length_b 3.5748
_cell_length_c 8.1248
_cell_angle_alpha 90.00
_cell_angle_beta 90.00
_cell_angle_gamma 120.00
_symmetry_space_group_name_H-M 'P 3 m 1'
_symmetry_Int_Tables_number 156
_symmetry_space_group_name_Hall 'P 3 -2"'
loop_
_atom_site_label
_atom_site_type_symbol
_atom_site_fract_x
_atom_site_fract_y
_atom_site_fract_z
Ti1 Ti 0.0000 0.0000 0.0000
H1 H 0.3333 0.6667 0.0403
I1 I 0.0000 0.0000 0.3207
Br1 Br 0.6667 0.3333 0.7911
```

=====

5.
The following is a PBE calculation of a geometry-optimized Sm4Y5Er structure, from Alexandria.

Computed properties:
For the energy of formation, the calculation gives 186 meV/atom. The value obtained for the volume is 681.1 Å³/cell. The calculation puts the energy relative to the lowest polymorph listed for this composition at 0 meV per atom.

```
data_Sm4Y5Er
_chemical_formula_sum 'Sm8 Y10 Er2'
_cell_length_a 17.3372
_cell_length_b 3.5477
_cell_length_c 11.0728
_cell_angle_alpha 90.00
_cell_angle_beta 90.16
_cell_angle_gamma 90.00
_symmetry_space_group_name_H-M 'C 1 2/m 1'
_symmetry_Int_Tables_number 12
_symmetry_space_group_name_Hall '-C 2y'
loop_
_atom_site_label
_atom_site_type_symbol
_atom_site_fract_x
_atom_site_fract_y
_atom_site_fract_z
Sm1 Sm 0.0284 0.0000 0.2486
Sm2 Sm 0.1526 0.5000 0.7500
Y1 Y 0.0000 0.5000 0.5000
Y2 Y 0.1736 0.0000 0.0554
Y3 Y 0.1744 0.0000 0.4422
Er1 Er 0.0000 0.5000 0.0000
```

=====

6.
The following is a PBE calculation of a geometry-optimized Pm2CuO3 structure, from Alexandria.

Computed properties:
The formation energy (no corrections) comes out at -2415 meV per atom. The value obtained for the volume is 168.3 Å³/cell.

```
data_Pm2CuO3
_chemical_formula_sum 'Pm4 Cu2 O6'
_cell_length_a 3.3560
_cell_length_b 3.6798
_cell_length_c 13.6256
_cell_angle_alpha 90.00
_cell_angle_beta 90.00
_cell_angle_gamma 90.00
_symmetry_space_group_name_H-M 'I m m m'
_symmetry_Int_Tables_number 71
_symmetry_space_group_name_Hall '-I 2 2'
loop_
_atom_site_label
_atom_site_type_symbol
_atom_site_fract_x
_atom_site_fract_y
_atom_site_fract_z
Pm1 Pm 0.0000 0.0000 0.1446
Cu1 Cu 0.0000 0.0000 0.5000
O1 O 0.0000 0.0000 0.3173
O2 O 0.0000 0.5000 0.5000
```

=====

7.
The following is a PBE calculation of a geometry-optimized Ni2SbAs structure, from Alexandria.

Computed properties:
The formation energy (no corrections) comes out at -64 meV per atom. The value obtained for the volume is 130.8 Å³/cell.

```
data_Ni2SbAs
_chemical_formula_sum 'Ni4 Sb2 As2'
_cell_length_a 3.0314
_cell_length_b 3.5959
_cell_length_c 11.9962
_cell_angle_alpha 90.00
_cell_angle_beta 90.00
_cell_angle_gamma 90.00
_symmetry_space_group_name_H-M 'I m m 2'
_symmetry_Int_Tables_number 44
_symmetry_space_group_name_Hall 'I 2 -2'
loop_
_atom_site_label
_atom_site_type_symbol
_atom_site_fract_x
_atom_site_fract_y
_atom_site_fract_z
Ni1 Ni 0.0000 0.0000 0.0000
Ni2 Ni 0.0000 0.5000 0.3100
Sb1 Sb 0.0000 0.5000 0.6920
As1 As 0.0000 0.0000 0.4460
```

=====

8.
The following is a PBE calculation of a geometry-optimized TbGa2Ni4 structure, from Alexandria.

Computed properties:
For the energy of formation, the calculation gives -447 meV/atom. The value obtained for the volume is 201.8 Å³/cell. The calculation puts the energy relative to the lowest polymorph listed for this composition at 0 meV per atom.

```
data_TbGa2Ni4
_chemical_formula_sum 'Tb2 Ga4 Ni8'
_cell_length_a 7.2456
_cell_length_b 7.2456
_cell_length_c 3.8438
_cell_angle_alpha 90.00
_cell_angle_beta 90.00
_cell_angle_gamma 90.00
_symmetry_space_group_name_H-M 'P 42/m n m'
_symmetry_Int_Tables_number 136
_symmetry_space_group_name_Hall '-P 4n 2n'
loop_
_atom_site_label
_atom_site_type_symbol
_atom_site_fract_x
_atom_site_fract_y
_atom_site_fract_z
Tb1 Tb 0.0000 0.0000 0.0000
Ga1 Ga 0.2198 0.2198 0.5000
Ni1 Ni 0.0892 0.6486 0.5000
```

=====

9.
The following is a PBE calculation of a geometry-optimized Ho3MgAl12 structure, from Alexandria.

Computed properties:
For the energy of formation, the calculation gives -301 meV/atom. The value obtained for the volume is 300.7 Å³/cell.

```
data_Ho3MgAl12
_chemical_formula_sum 'Ho3 Mg1 Al12'
_cell_length_a 4.2206
_cell_length_b 4.2206
_cell_length_c 16.8780
_cell_angle_alpha 90.00
_cell_angle_beta 90.00
_cell_angle_gamma 90.00
_symmetry_space_group_name_H-M 'P 4/m m m'
_symmetry_Int_Tables_number 123
_symmetry_space_group_name_Hall '-P 4 2'
loop_
_atom_site_label
_atom_site_type_symbol
_atom_site_fract_x
_atom_site_fract_y
_atom_site_fract_z
Ho1 Ho 0.0000 0.0000 0.0000
Ho2 Ho 0.0000 0.0000 0.2534
Mg1 Mg 0.0000 0.0000 0.5000
Al1 Al 0.0000 0.5000 0.1270
Al2 Al 0.0000 0.5000 0.3823
Al3 Al 0.5000 0.5000 0.0000
Al4 Al 0.5000 0.5000 0.2508
Al5 Al 0.5000 0.5000 0.5000
```

=====

10.
The following is a PBE calculation of a geometry-optimized TaGaReBi2 structure, from Alexandria.

Computed properties:
For the energy of formation, the calculation gives 1868 meV/atom. The value obtained for the volume is 133.9 Å³/cell.

```
data_TaGaReBi2
_chemical_formula_sum 'Ta1 Ga1 Re1 Bi2'
_cell_length_a 5.2406
_cell_length_b 5.2406
_cell_length_c 4.8749
_cell_angle_alpha 90.00
_cell_angle_beta 90.00
_cell_angle_gamma 90.00
_symmetry_space_group_name_H-M 'P 4/m m m'
_symmetry_Int_Tables_number 123
_symmetry_space_group_name_Hall '-P 4 2'
loop_
_atom_site_label
_atom_site_type_symbol
_atom_site_fract_x
_atom_site_fract_y
_atom_site_fract_z
Ta1 Ta 0.0000 0.0000 0.0000
Ga1 Ga 0.0000 0.0000 0.5000
Re1 Re 0.5000 0.5000 0.0000
Bi1 Bi 0.0000 0.5000 0.5000
```

=====

11.
The following is a PBE calculation of a geometry-optimized Dy2CdTc structure, from Alexandria.

Computed properties:
For the energy of formation, the calculation gives -186 meV/atom. The value obtained for the volume is 93.0 Å³/cell.

```
data_Dy2CdTc
_chemical_formula_sum 'Dy2 Cd1 Tc1'
_cell_length_a 3.5083
_cell_length_b 3.5083
_cell_length_c 7.5591
_cell_angle_alpha 90.00
_cell_angle_beta 90.00
_cell_angle_gamma 90.00
_symmetry_space_group_name_H-M 'P 4/m m m'
_symmetry_Int_Tables_number 123
_symmetry_space_group_name_Hall '-P 4 2'
loop_
_atom_site_label
_atom_site_type_symbol
_atom_site_fract_x
_atom_site_fract_y
_atom_site_fract_z
Dy1 Dy 0.0000 0.0000 0.2150
Cd1 Cd 0.5000 0.5000 0.5000
Tc1 Tc 0.5000 0.5000 0.0000
```

=====

12.
The following is a PBE calculation of a geometry-optimized Pa3IBr7 structure, from Alexandria.

Computed properties:
The formation energy (no corrections) comes out at -1214 meV per atom. The value obtained for the volume is 405.5 Å³/cell.

```
data_Pa3IBr7
_chemical_formula_sum 'Pa3 I1 Br7'
_cell_length_a 7.7830
_cell_length_b 7.7830
_cell_length_c 7.7305
_cell_angle_alpha 90.00
_cell_angle_beta 90.00
_cell_angle_gamma 120.00
_symmetry_space_group_name_H-M 'P 3 m 1'
_symmetry_Int_Tables_number 156
_symmetry_space_group_name_Hall 'P 3 -2"'
loop_
_atom_site_label
_atom_site_type_symbol
_atom_site_fract_x
_atom_site_fract_y
_atom_site_fract_z
Pa1 Pa 0.1682 0.3363 0.0000
I1 I 0.0000 0.0000 0.7152
Br1 Br 0.3333 0.6667 0.2575
Br2 Br 0.3417 0.1708 0.2293
Br3 Br 0.5044 0.0088 0.7699
```

=====

13.
The following is a PBE calculation of a geometry-optimized LiMgRe structure, from Alexandria.

Computed properties:
For the energy of formation, the calculation gives 115 meV/atom. The value obtained for the volume is 95.3 Å³/cell. The calculation puts the energy relative to the lowest polymorph listed for this composition at 62 meV per atom.

```
data_LiMgRe
_chemical_formula_sum 'Li2 Mg2 Re2'
_cell_length_a 4.3697
_cell_length_b 4.3697
_cell_length_c 5.7657
_cell_angle_alpha 90.00
_cell_angle_beta 90.00
_cell_angle_gamma 120.00
_symmetry_space_group_name_H-M 'P 3 m 1'
_symmetry_Int_Tables_number 156
_symmetry_space_group_name_Hall 'P 3 -2"'
loop_
_atom_site_label
_atom_site_type_symbol
_atom_site_fract_x
_atom_site_fract_y
_atom_site_fract_z
Li1 Li 0.0000 0.0000 0.0000
Li2 Li 0.3333 0.6667 0.3615
Mg1 Mg 0.3333 0.6667 0.8181
Mg2 Mg 0.6667 0.3333 0.1684
Re1 Re 0.0000 0.0000 0.5342
Re2 Re 0.6667 0.3333 0.6372
```

=====

14.
The following is a PBE calculation of a geometry-optimized Ce4TlSe6 structure, from Alexandria.

Computed properties:
The formation energy (no corrections) comes out at -1584 meV per atom. The value obtained for the volume is 1321.5 Å³/cell.

```
data_Ce4TlSe6
_chemical_formula_sum 'Ce16 Tl4 Se24'
_cell_length_a 4.2753
_cell_length_b 14.0952
_cell_length_c 21.9304
_cell_angle_alpha 90.00
_cell_angle_beta 90.00
_cell_angle_gamma 90.00
_symmetry_space_group_name_H-M 'C m c m'
_symmetry_Int_Tables_number 63
_symmetry_space_group_name_Hall '-C 2c 2'
loop_
_atom_site_label
_atom_site_type_symbol
_atom_site_fract_x
_atom_site_fract_y
_atom_site_fract_z
Ce1 Ce 0.0000 0.0961 0.1304
Ce2 Ce 0.0000 0.3651 0.0418
Tl1 Tl 0.0000 0.1635 0.7500
Se1 Se 0.0000 0.0000 0.0000
Se2 Se 0.0000 0.1706 0.2500
Se3 Se 0.0000 0.2708 0.5821
Se4 Se 0.0000 0.4635 0.1562
```

=====

15.
The following is a PBE calculation of a geometry-optimized Re2RuRh structure, from Alexandria.

Computed properties:
For the energy of formation, the calculation gives -147 meV/atom. The value obtained for the volume is 57.5 Å³/cell. The calculation puts the energy relative to the lowest polymorph listed for this composition at 0 meV per atom.

```
data_Re2RuRh
_chemical_formula_sum 'Re2 Ru1 Rh1'
_cell_length_a 2.7424
_cell_length_b 4.3815
_cell_length_c 4.7894
_cell_angle_alpha 90.00
_cell_angle_beta 90.00
_cell_angle_gamma 90.00
_symmetry_space_group_name_H-M 'P m m 2'
_symmetry_Int_Tables_number 25
_symmetry_space_group_name_Hall 'P 2 -2'
loop_
_atom_site_label
_atom_site_type_symbol
_atom_site_fract_x
_atom_site_fract_y
_atom_site_fract_z
Re1 Re 0.0000 0.0000 0.0000
Re2 Re 0.0000 0.5000 0.3301
Ru1 Ru 0.5000 0.0000 0.4966
Rh1 Rh 0.5000 0.5000 0.8360
```